# MnTlO2F, optimized geometry, DFT PBE+U
# total moment: 5.1 μB/f.u.
# SG: P4/mmm, No. 123
# E: -24.8 eV for the cell shown
# crystal system: tetragonal
data_MnTlO2F
_chemical_formula_sum 'Mn1 Tl1 O2 F1'
_cell_length_a 4.293
_cell_length_b 4.293
_cell_length_c 4.372
_cell_angle_alpha 90.00
_cell_angle_beta 90.00
_cell_angle_gamma 90.00
_space_group_name_H-M_alt 'P 1'
_space_group_IT_number 1
loop_
_space_group_symop_operation_xyz
'x,y,z'
loop_
_atom_site_label
_atom_site_type_symbol
_atom_site_fract_x
_atom_site_fract_y
_atom_site_fract_z
_atom_site_occupancy
Mn1 Mn 0.000 0.000 0.000 1
Tl1 Tl 0.500 0.500 0.500 1
O1 O 0.000 0.500 0.500 1
O2 O 0.500 0.000 0.500 1
F1 F 0.500 0.500 0.000 1